# 1
Below is crystalline Li2SnAsO at its relaxed geometry, with properties calculated at the PBE-GGA level.

Unit cell a=4.0193 b=4.0193 c=4.7922 alpha=90.00 beta=90.00 gamma=90.00
Atoms (fractional coordinates):
Li (0.0000, 0.5000, 0.0000)
Li (0.5000, 0.0000, 0.0000)
Sn (0.0000, 0.0000, 0.5000)
As (0.5000, 0.5000, 0.5000)
O (0.0000, 0.0000, 0.0000)

As for the uncorrected formation energy: -1.01 eV per atom.

=====

# 2
Below is crystalline SrY2Cd at its relaxed geometry, with properties calculated at the PBE-GGA level.

Unit cell a=8.0299 b=8.0299 c=8.0299 alpha=90.00 beta=90.00 gamma=90.00
Atoms (fractional coordinates):
Sr (0.0000, 0.0000, 0.0000)
Sr (0.0000, 0.5000, 0.5000)
Sr (0.5000, 0.0000, 0.5000)
Sr (0.5000, 0.5000, 0.0000)
Y (0.0000, 0.0000, 0.5000)
Y (0.0000, 0.5000, 0.0000)
Y (0.2500, 0.2500, 0.2500)
Y (0.2500, 0.7500, 0.7500)
Y (0.5000, 0.0000, 0.0000)
Y (0.5000, 0.5000, 0.5000)
Y (0.7500, 0.2500, 0.7500)
Y (0.7500, 0.7500, 0.2500)
Cd (0.2500, 0.2500, 0.7500)
Cd (0.2500, 0.7500, 0.2500)
Cd (0.7500, 0.2500, 0.2500)
Cd (0.7500, 0.7500, 0.7500)

The calculated formation energy is 0.094 eV per atom.

=====

# 3
Below is crystalline Ac3Te2Pd at its relaxed geometry, with properties calculated at the PBE-GGA level.

Unit cell a=4.7305 b=4.7430 c=19.3221 alpha=90.00 beta=90.00 gamma=90.00
Atoms (fractional coordinates):
Ac (0.0000, 0.0000, 0.0000)
Ac (0.0000, 0.0000, 0.3466)
Ac (0.0000, 0.0000, 0.6534)
Ac (0.5000, 0.5000, 0.1534)
Ac (0.5000, 0.5000, 0.5000)
Ac (0.5000, 0.5000, 0.8466)
Te (0.0000, 0.0000, 0.1736)
Te (0.0000, 0.0000, 0.8264)
Te (0.5000, 0.5000, 0.3264)
Te (0.5000, 0.5000, 0.6736)
Pd (0.0000, 0.0000, 0.5000)
Pd (0.5000, 0.5000, 0.0000)

As for the uncorrected formation energy: -1.23 eV per atom.